This record from Alexandria describes crystalline GdScGaNi at its relaxed geometry. The functional is PBE-GGA.

extended XYZ file:
```
4
Lattice="-1.442 -2.284 -3.987 -3.455 -3.345 0.257 -4.358 0.893 -1.844" Properties=species:S:1:pos:R:3 pbc="T T T"
Sc -2.314 -1.184 -1.394
Ni 0.000 0.000 0.000
Gd -6.942 -3.552 -4.181
Ga -4.628 -2.368 -2.787
```

Properties
DFT total energy = -7.7482 eV per atom
total magnetization = 1.7852 μB/atom
calculated formation energy = -0.4431 eV per atom